No. 1
! BaIn12Pt6, relaxed, DFT PBE; values from VASP
&SYSTEM
  ibrav = 0, nat = 19, ntyp = 3
/
ATOMIC_SPECIES
Ba 137.33 Ba.upf
In 114.82 In.upf
Pt 195.08 Pt.upf
ATOMIC_POSITIONS crystal
Ba 0.0000 0.0000 0.0000
In 0.1196 0.5000 0.8804
In 0.1196 0.8804 0.5000
In 0.1615 0.4223 0.4223
In 0.4223 0.1615 0.4223
In 0.4223 0.4223 0.1615
In 0.5000 0.1196 0.8804
In 0.5000 0.8804 0.1196
In 0.5777 0.5777 0.8385
In 0.5777 0.8385 0.5777
In 0.8385 0.5777 0.5777
In 0.8804 0.1196 0.5000
In 0.8804 0.5000 0.1196
Pt 0.2626 0.2626 0.6968
Pt 0.2626 0.6968 0.2626
Pt 0.3032 0.7374 0.7374
Pt 0.6968 0.2626 0.2626
Pt 0.7374 0.3032 0.7374
Pt 0.7374 0.7374 0.3032
CELL_PARAMETERS angstrom
6.3075 3.6416 3.1924
-6.3075 3.6416 3.1924
0.0000 -7.2832 3.1924
! ΔH_f (0 K) (eV per atom): -0.44

=====

No. 2
! Sr2MnSe, relaxed, DFT PBE; values from VASP
&SYSTEM
  ibrav = 0, nat = 4, ntyp = 3
/
ATOMIC_SPECIES
Sr 87.62 Sr.upf
Mn 54.94 Mn.upf
Se 78.96 Se.upf
ATOMIC_POSITIONS crystal
Sr 0.0000 0.0000 0.0000
Sr 0.5000 0.2860 0.2860
Mn 0.5000 0.5729 0.5729
Se 0.0000 0.7092 0.7092
CELL_PARAMETERS angstrom
4.4044 0.0000 0.0000
0.0000 2.2228 6.0829
0.0000 -2.2228 6.0829
! Formation energy from raw total energies (eV per atom): -0.5264